# Sr2LaZn2

Crystalline Sr2LaZn2 at its relaxed geometry (PBE, Alexandria via LeMat-Bulk).

Values from the calculation:
The value obtained for the density of states at the Fermi level is 6.69 states/eV per cell. Its energy of formation is 0.00 eV per atom. Its final energy is -21.656 eV for the cell shown.

Lattice parameters (Å, degrees): 9.205 9.205 3.628 90.00 90.00 90.00
Space group P4/mbm (No. 127)
Inequivalent atoms, fractional coordinates:
1 Sr 0.135 0.365 0.000 (multiplicity 4)
2 La 0.000 0.000 0.000 (multiplicity 2)
3 Zn 0.164 0.664 0.500 (multiplicity 4)

***

# SrLa2Zn2

Crystalline SrLa2Zn2 at its relaxed geometry (PBE, Alexandria via LeMat-Bulk).

Values from the calculation:
The value obtained for the density of states at the Fermi level is 9.31 states/eV per cell. Its energy of formation is -0.13 eV per atom. Its final energy is -29.444 eV for the cell shown.

Lattice parameters (Å, degrees): 9.101 9.101 3.552 90.00 90.00 90.00
Space group P4/mbm (No. 127)
Inequivalent atoms, fractional coordinates:
1 Sr 0.000 0.000 0.000 (multiplicity 2)
2 La 0.121 0.379 0.000 (multiplicity 4)
3 Zn 0.173 0.673 0.500 (multiplicity 4)

***

# SrLa2Zn

Crystalline SrLa2Zn at its relaxed geometry (PBE, Alexandria via LeMat-Bulk).

Values from the calculation:
The value obtained for the density of states at the Fermi level is 11.79 states/eV per cell. Its energy of formation is -0.08 eV per atom. Its final energy is -26.237 eV for the cell shown.

Lattice parameters (Å, degrees): 3.727 5.754 12.654 90.00 90.00 90.00
Space group Immm (No. 71)
Inequivalent atoms, fractional coordinates:
1 Sr 0.000 0.000 0.000 (multiplicity 2)
2 La 0.000 0.500 0.207 (multiplicity 4)
3 Zn 0.000 0.000 0.500 (multiplicity 2)

***

- The lowest energy of formation belongs to which entry?
  SrLa2Zn2